Record 1
A geometry-optimized In2Sb structure. Source: Alexandria, functional PBE.

Values from the calculation:
* crystal system: hexagonal
* space-group type: P6_3/mmc (194)
* energy relative to the elements, uncorrected: 0.213 eV/atom

Geometry as CIF:
```
data_In2Sb
_chemical_formula_sum 'In8 Sb4'
_space_group_name_H-M_alt 'P 1'
_space_group_IT_number 1
_cell_length_a 6.161
_cell_length_b 6.161
_cell_length_c 11.722
_cell_angle_alpha 90.00
_cell_angle_beta 90.00
_cell_angle_gamma 120.00
loop_
_space_group_symop_operation_xyz
'x,y,z'
loop_
_atom_site_label
_atom_site_type_symbol
_atom_site_fract_x
_atom_site_fract_y
_atom_site_fract_z
In1 In 0.000 0.000 0.000
In2 In 0.000 0.000 0.500
In3 In 0.162 0.324 0.250
In4 In 0.162 0.838 0.250
In5 In 0.324 0.162 0.750
In6 In 0.676 0.838 0.250
In7 In 0.838 0.162 0.750
In8 In 0.838 0.676 0.750
Sb1 Sb 0.333 0.667 0.043
Sb2 Sb 0.333 0.667 0.457
Sb3 Sb 0.667 0.333 0.543
Sb4 Sb 0.667 0.333 0.957
```

=====

Record 2
A geometry-optimized CaSbC2 structure. Source: Alexandria, functional PBE.

Values from the calculation:
* crystal system: tetragonal
* space-group type: I-42d (122)
* energy relative to the elements, uncorrected: 0.936 eV/atom

Geometry as CIF:
```
data_CaSbC2
_chemical_formula_sum 'Ca2 Sb2 C4'
_space_group_name_H-M_alt 'P 1'
_space_group_IT_number 1
_cell_length_a 5.657
_cell_length_b 5.657
_cell_length_c 5.657
_cell_angle_alpha 114.86
_cell_angle_beta 114.86
_cell_angle_gamma 99.16
loop_
_space_group_symop_operation_xyz
'x,y,z'
loop_
_atom_site_label
_atom_site_type_symbol
_atom_site_fract_x
_atom_site_fract_y
_atom_site_fract_z
Ca1 Ca 0.000 0.000 0.000
Ca2 Ca 0.750 0.250 0.500
Sb1 Sb 0.250 0.750 0.500
Sb2 Sb 0.500 0.500 0.000
C1 C 0.178 0.125 0.553
C2 C 0.375 0.822 0.947
C3 C 0.572 0.625 0.447
C4 C 0.875 0.428 0.053
```

=====

Record 3
A geometry-optimized Zr2BeRhN structure. Source: Alexandria, functional PBE.

Values from the calculation:
* crystal system: tetragonal
* space-group type: P4/mmm (123)
* energy relative to the elements, uncorrected: -0.927 eV/atom

Geometry as CIF:
```
data_Zr2BeRhN
_chemical_formula_sum 'Zr2 Be1 Rh1 N1'
_space_group_name_H-M_alt 'P 1'
_space_group_IT_number 1
_cell_length_a 4.576
_cell_length_b 4.576
_cell_length_c 3.398
_cell_angle_alpha 90.00
_cell_angle_beta 90.00
_cell_angle_gamma 90.00
loop_
_space_group_symop_operation_xyz
'x,y,z'
loop_
_atom_site_label
_atom_site_type_symbol
_atom_site_fract_x
_atom_site_fract_y
_atom_site_fract_z
Zr1 Zr 0.000 0.500 0.000
Zr2 Zr 0.500 0.000 0.000
Be1 Be 0.000 0.000 0.500
Rh1 Rh 0.500 0.500 0.500
N1 N 0.000 0.000 0.000
```

=====

Record 4
A geometry-optimized Zr2NbCu structure. Source: Alexandria, functional PBE.

Values from the calculation:
* excess energy over the best structure of this formula in the dataset: 0 meV per atom
* crystal system: tetragonal
* space-group type: P4/mmm (123)
* calculated formation energy: -41 meV/atom

Geometry as CIF:
```
data_Zr2NbCu
_chemical_formula_sum 'Zr2 Nb1 Cu1'
_space_group_name_H-M_alt 'P 1'
_space_group_IT_number 1
_cell_length_a 3.431
_cell_length_b 3.431
_cell_length_c 6.479
_cell_angle_alpha 90.00
_cell_angle_beta 90.00
_cell_angle_gamma 90.00
loop_
_space_group_symop_operation_xyz
'x,y,z'
loop_
_atom_site_label
_atom_site_type_symbol
_atom_site_fract_x
_atom_site_fract_y
_atom_site_fract_z
Zr1 Zr 0.000 0.000 0.246
Zr2 Zr 0.000 0.000 0.754
Nb1 Nb 0.500 0.500 0.500
Cu1 Cu 0.500 0.500 0.000
```

=====

Record 5
A geometry-optimized RbSnBi structure. Source: Alexandria, functional PBE.

Values from the calculation:
* crystal system: orthorhombic
* space-group type: Pnma (62)
* calculated formation energy: -209 meV/atom

Geometry as CIF:
```
data_RbSnBi
_chemical_formula_sum 'Rb4 Sn4 Bi4'
_space_group_name_H-M_alt 'P 1'
_space_group_IT_number 1
_cell_length_a 11.600
_cell_length_b 4.560
_cell_length_c 9.990
_cell_angle_alpha 90.00
_cell_angle_beta 90.00
_cell_angle_gamma 90.00
loop_
_space_group_symop_operation_xyz
'x,y,z'
loop_
_atom_site_label
_atom_site_type_symbol
_atom_site_fract_x
_atom_site_fract_y
_atom_site_fract_z
Rb1 Rb 0.200 0.250 0.067
Rb2 Rb 0.300 0.750 0.567
Rb3 Rb 0.700 0.250 0.433
Rb4 Rb 0.800 0.750 0.933
Sn1 Sn 0.089 0.250 0.404
Sn2 Sn 0.411 0.750 0.904
Sn3 Sn 0.589 0.250 0.096
Sn4 Sn 0.911 0.750 0.596
Bi1 Bi 0.049 0.250 0.718
Bi2 Bi 0.451 0.750 0.218
Bi3 Bi 0.549 0.250 0.782
Bi4 Bi 0.951 0.750 0.282
```

=====

Record 6
A geometry-optimized RbVSCl2 structure. Source: Alexandria, functional PBE.

Values from the calculation:
* excess energy over the best structure of this formula in the dataset: 1771 meV per atom
* crystal system: tetragonal
* space-group type: P4/mmm (123)
* energy relative to the elements, uncorrected: 0.547 eV/atom

Geometry as CIF:
```
data_RbVSCl2
_chemical_formula_sum 'Rb1 V1 S1 Cl2'
_space_group_name_H-M_alt 'P 1'
_space_group_IT_number 1
_cell_length_a 5.795
_cell_length_b 5.795
_cell_length_c 5.852
_cell_angle_alpha 90.00
_cell_angle_beta 90.00
_cell_angle_gamma 90.00
loop_
_space_group_symop_operation_xyz
'x,y,z'
loop_
_atom_site_label
_atom_site_type_symbol
_atom_site_fract_x
_atom_site_fract_y
_atom_site_fract_z
Rb1 Rb 0.000 0.000 0.000
V1 V 0.500 0.500 0.500
S1 S 0.000 0.000 0.500
Cl1 Cl 0.000 0.500 0.000
Cl2 Cl 0.500 0.000 0.000
```

=====

Record 7
A geometry-optimized YTcC structure. Source: Alexandria, functional PBE.

Values from the calculation:
* excess energy over the best structure of this formula in the dataset: 177 meV per atom
* crystal system: trigonal
* space-group type: P3m1 (156)
* calculated formation energy: -8 meV/atom

Geometry as CIF:
```
data_YTcC
_chemical_formula_sum 'Y1 Tc1 C1'
_space_group_name_H-M_alt 'P 1'
_space_group_IT_number 1
_cell_length_a 3.527
_cell_length_b 3.527
_cell_length_c 4.496
_cell_angle_alpha 90.00
_cell_angle_beta 90.00
_cell_angle_gamma 120.00
loop_
_space_group_symop_operation_xyz
'x,y,z'
loop_
_atom_site_label
_atom_site_type_symbol
_atom_site_fract_x
_atom_site_fract_y
_atom_site_fract_z
Y1 Y 0.000 0.000 0.000
Tc1 Tc 0.667 0.333 0.490
C1 C 0.333 0.667 0.477
```

=====

Record 8
A geometry-optimized BHI2 structure. Source: Alexandria, functional PBE.

Values from the calculation:
* excess energy over the best structure of this formula in the dataset: 1020 meV per atom
* crystal system: tetragonal
* space-group type: I-42d (122)

Geometry as CIF:
```
data_BHI2
_chemical_formula_sum 'B2 H2 I4'
_space_group_name_H-M_alt 'P 1'
_space_group_IT_number 1
_cell_length_a 6.095
_cell_length_b 6.095
_cell_length_c 6.095
_cell_angle_alpha 114.96
_cell_angle_beta 114.96
_cell_angle_gamma 98.97
loop_
_space_group_symop_operation_xyz
'x,y,z'
loop_
_atom_site_label
_atom_site_type_symbol
_atom_site_fract_x
_atom_site_fract_y
_atom_site_fract_z
B1 B 0.000 0.000 0.000
B2 B 0.750 0.250 0.500
H1 H 0.250 0.750 0.500
H2 H 0.500 0.500 0.000
I1 I 0.082 0.125 0.457
I2 I 0.375 0.918 0.043
I3 I 0.668 0.625 0.543
I4 I 0.875 0.332 0.957
```

=====

Record 9
A geometry-optimized Er5Sn2Pd2 structure. Source: Alexandria, functional PBE.

Values from the calculation:
* crystal system: orthorhombic
* space-group type: Cmce (64)
* calculated formation energy: -719 meV/atom

Geometry as CIF:
```
data_Er5Sn2Pd2
_chemical_formula_sum 'Er10 Sn4 Pd4'
_space_group_name_H-M_alt 'P 1'
_space_group_IT_number 1
_cell_length_a 8.686
_cell_length_b 8.686
_cell_length_c 7.300
_cell_angle_alpha 90.00
_cell_angle_beta 90.00
_cell_angle_gamma 57.66
loop_
_space_group_symop_operation_xyz
'x,y,z'
loop_
_atom_site_label
_atom_site_type_symbol
_atom_site_fract_x
_atom_site_fract_y
_atom_site_fract_z
Er1 Er 0.000 0.000 0.000
Er2 Er 0.055 0.697 0.653
Er3 Er 0.197 0.555 0.153
Er4 Er 0.303 0.945 0.653
Er5 Er 0.445 0.803 0.153
Er6 Er 0.500 0.500 0.500
Er7 Er 0.555 0.197 0.847
Er8 Er 0.697 0.055 0.347
Er9 Er 0.803 0.445 0.847
Er10 Er 0.945 0.303 0.347
Sn1 Sn 0.211 0.211 0.000
Sn2 Sn 0.289 0.289 0.500
Sn3 Sn 0.711 0.711 0.500
Sn4 Sn 0.789 0.789 0.000
Pd1 Pd 0.126 0.874 0.365
Pd2 Pd 0.374 0.626 0.865
Pd3 Pd 0.626 0.374 0.135
Pd4 Pd 0.874 0.126 0.635
```

=====

Record 10
A geometry-optimized ScRe2Ir structure. Source: Alexandria, functional PBE.

Values from the calculation:
* excess energy over the best structure of this formula in the dataset: 139 meV per atom
* crystal system: monoclinic
* space-group type: P2/m (10)
* calculated formation energy: -9 meV/atom

Geometry as CIF:
```
data_ScRe2Ir
_chemical_formula_sum 'Sc1 Re2 Ir1'
_space_group_name_H-M_alt 'P 1'
_space_group_IT_number 1
_cell_length_a 2.761
_cell_length_b 4.684
_cell_length_c 4.971
_cell_angle_alpha 90.00
_cell_angle_beta 99.61
_cell_angle_gamma 90.00
loop_
_space_group_symop_operation_xyz
'x,y,z'
loop_
_atom_site_label
_atom_site_type_symbol
_atom_site_fract_x
_atom_site_fract_y
_atom_site_fract_z
Sc1 Sc 0.000 0.000 0.000
Re1 Re 0.271 0.500 0.753
Re2 Re 0.729 0.500 0.247
Ir1 Ir 0.500 0.000 0.500
```

=====

Record 11
A geometry-optimized PWSe2 structure. Source: Alexandria, functional PBE.

Values from the calculation:
* crystal system: orthorhombic
* space-group type: Cmmm (65)
* energy relative to the elements, uncorrected: 0.680 eV/atom

Geometry as CIF:
```
data_PWSe2
_chemical_formula_sum 'P1 W1 Se2'
_space_group_name_H-M_alt 'P 1'
_space_group_IT_number 1
_cell_length_a 2.900
_cell_length_b 2.900
_cell_length_c 9.744
_cell_angle_alpha 90.00
_cell_angle_beta 90.00
_cell_angle_gamma 115.30
loop_
_space_group_symop_operation_xyz
'x,y,z'
loop_
_atom_site_label
_atom_site_type_symbol
_atom_site_fract_x
_atom_site_fract_y
_atom_site_fract_z
P1 P 0.000 0.000 0.000
W1 W 0.000 0.000 0.500
Se1 Se 0.500 0.500 0.284
Se2 Se 0.500 0.500 0.716
```

=====

Record 12
A geometry-optimized ZnCo2Pt structure. Source: Alexandria, functional PBE.

Values from the calculation:
* crystal system: tetragonal
* space-group type: I4/mmm (139)
* calculated formation energy: -90 meV/atom

Geometry as CIF:
```
data_ZnCo2Pt
_chemical_formula_sum 'Zn1 Co2 Pt1'
_space_group_name_H-M_alt 'P 1'
_space_group_IT_number 1
_cell_length_a 4.651
_cell_length_b 4.651
_cell_length_c 4.651
_cell_angle_alpha 133.65
_cell_angle_beta 133.65
_cell_angle_gamma 67.63
loop_
_space_group_symop_operation_xyz
'x,y,z'
loop_
_atom_site_label
_atom_site_type_symbol
_atom_site_fract_x
_atom_site_fract_y
_atom_site_fract_z
Zn1 Zn 0.000 0.000 0.000
Co1 Co 0.250 0.750 0.500
Co2 Co 0.750 0.250 0.500
Pt1 Pt 0.500 0.500 0.000
```

=====

Results for final energy: -2.987; -5.207; -8.227; -7.857; -3.160; -3.035; -8.693; -2.260; -5.298; -10.032; -5.653; -5.471 (in eV per atom, following the order of the records).